VASP calculation (PBE-GGA) on Tm5TaRu6 after structural relaxation.

Geometry as extended XYZ:
```
12
Lattice="4.451 -0.026 1.484 0.036 6.665 0.012 0.007 -0.013 7.405" Properties=species:S:1:pos:R:3 pbc="T T T"
Ru 3.756 1.576 3.601
Ru 0.720 1.589 5.293
Ru 2.234 1.543 0.745
Ru 0.738 5.049 5.300
Ru 3.774 5.036 3.607
Ru 2.253 5.096 0.751
Tm 2.989 3.306 5.935
Tm 1.486 -0.013 2.963
Tm 2.972 -0.026 5.926
Tm 0.018 3.332 0.006
Tm 1.505 3.319 2.966
Ta 0.000 0.000 0.000
```

## Properties
calculated density = 12.340 g/cm3
spin magnetization = 0.00 μB per formula unit
space group = No. 65
E_form = -45 kJ/mol of atoms
DOS(E_F) = 8.6 states/eV/cell